[1]
Li2CaAg: relaxed, GGA-PBEsol.

## Properties
space group	No. 47
V	89.6	Å³/f.u.
polymorph energy (0 for the lowest one)	0.0526	eV per atom

```
data_Li2CaAg
_chemical_formula_sum 'Li2 Ca1 Ag1'
_cell_length_a 4.255
_cell_length_b 4.319
_cell_length_c 4.878
_cell_angle_alpha 90.00
_cell_angle_beta 90.00
_cell_angle_gamma 90.00
_symmetry_space_group_name_H-M 'P 1'
_symmetry_Int_Tables_number 1
_symmetry_space_group_name_Hall 'P 1'
loop_
_atom_site_label
_atom_site_type_symbol
_atom_site_fract_x
_atom_site_fract_y
_atom_site_fract_z
Ca1 Ca 0.000 0.500 0.500
Li1 Li 0.500 0.500 0.000
Li2 Li 0.000 0.000 0.000
Ag1 Ag 0.500 0.000 0.500
```

***

[2]
Li2CaAg: relaxed, GGA-PBEsol.

## Properties
space group	No. 139
V	84.5	Å³/f.u.
polymorph energy (0 for the lowest one)	0.0187	eV per atom

```
data_Li2CaAg
_chemical_formula_sum 'Li2 Ca1 Ag1'
_cell_length_a 4.284
_cell_length_b 4.284
_cell_length_c 5.512
_cell_angle_alpha 112.87
_cell_angle_beta 112.87
_cell_angle_gamma 90.00
_symmetry_space_group_name_H-M 'P 1'
_symmetry_Int_Tables_number 1
_symmetry_space_group_name_Hall 'P 1'
loop_
_atom_site_label
_atom_site_type_symbol
_atom_site_fract_x
_atom_site_fract_y
_atom_site_fract_z
Ca1 Ca 0.000 0.000 0.000
Li1 Li 0.750 0.250 0.500
Li2 Li 0.250 0.750 0.500
Ag1 Ag 0.500 0.500 0.000
```

***

[3]
LiCa2Ag: relaxed, GGA-PBEsol.

## Properties
space group	No. 99
V	106.3	Å³/f.u.
polymorph energy (0 for the lowest one)	0.0373	eV per atom

```
data_LiCa2Ag
_chemical_formula_sum 'Li1 Ca2 Ag1'
_cell_length_a 3.646
_cell_length_b 3.646
_cell_length_c 7.999
_cell_angle_alpha 90.00
_cell_angle_beta 90.00
_cell_angle_gamma 90.00
_symmetry_space_group_name_H-M 'P 1'
_symmetry_Int_Tables_number 1
_symmetry_space_group_name_Hall 'P 1'
loop_
_atom_site_label
_atom_site_type_symbol
_atom_site_fract_x
_atom_site_fract_y
_atom_site_fract_z
Ca1 Ca 0.500 0.500 0.302
Ca2 Ca 0.000 0.000 0.934
Li1 Li 0.000 0.000 0.563
Ag1 Ag 0.500 0.500 0.701
```